# 1
This record from Alexandria describes crystalline HoSc2N3 at its relaxed geometry. The functional is PBE.

Output
DOS(E_F) in states/eV per cell: 0.22
DFT total energy in eV per atom: -8.8494
Magnetization in μB per cell: 0.0
Space-group type: Immm
Uncorrected formation energy in meV/atom: -1813

Cell lengths 5.692, 5.692, 5.692 Å; angles 146.52, 131.60, 60.13 degrees
Positions (direct):
Ho1 0.000 0.000 0.000
Sc1 0.332 0.332 0.000
Sc2 0.668 0.668 0.000
N1 0.175 0.675 0.500
N2 0.500 0.000 0.500
N3 0.825 0.325 0.500



# 2
This record from Alexandria describes crystalline Ho2Sc4N at its relaxed geometry. The functional is PBE.

Output
DOS(E_F) in states/eV per cell: 12.36
DFT total energy in eV per atom: -6.4651
Magnetization in μB per cell: 0.0
Space-group type: I4/mmm
Uncorrected formation energy in meV/atom: -350

Cell lengths 9.271, 9.271, 9.271 Å; angles 152.53, 152.53, 39.24 degrees
Positions (direct):
Ho1 0.181 0.181 0.000
Ho2 0.819 0.819 0.000
Sc1 0.000 0.500 0.500
Sc2 0.375 0.375 0.000
Sc3 0.500 0.000 0.500
Sc4 0.625 0.625 0.000
N1 0.500 0.500 0.000



# 3
This record from Alexandria describes crystalline HoScN2 at its relaxed geometry. The functional is PBE.

Output
DOS(E_F) in states/eV per cell: 0.04
DFT total energy in eV per atom: -8.3918
Magnetization in μB per cell: 0.0
Space-group type: R3m
Uncorrected formation energy in meV/atom: -1502

Cell lengths 5.992, 5.992, 5.992 Å; angles 31.82, 31.82, 31.82 degrees
Positions (direct):
Ho1 0.000 0.000 0.000
Sc1 0.171 0.171 0.171
N1 0.423 0.423 0.423
N2 0.585 0.585 0.585



# 4
This record from Alexandria describes crystalline HoScN at its relaxed geometry. The functional is PBE.

Output
E above lowest polymorph in eV per atom: 0.000
DOS(E_F) in states/eV per cell: 3.50
DFT total energy in eV per atom: -7.5257
Magnetization in μB per cell: 0.1
Space-group type: P3m1
Uncorrected formation energy in meV/atom: -1114

Cell lengths 3.357, 3.357, 5.695 Å; angles 90.00, 90.00, 120.00 degrees
Positions (direct):
Ho1 0.000 0.000 0.000
Sc1 0.667 0.333 0.447
N1 0.333 0.667 0.247



# 5
This record from Alexandria describes crystalline Ho5ScN6 at its relaxed geometry. The functional is PBE.

Output
DOS(E_F) in states/eV per cell: 0.31
DFT total energy in eV per atom: -8.3462
Magnetization in μB per cell: 0.0
Space-group type: C2/m
Uncorrected formation energy in meV/atom: -1749

Cell lengths 5.910, 5.910, 5.907 Å; angles 99.59, 99.59, 120.01 degrees
Positions (direct):
Ho1 0.000 0.000 0.000
Ho2 0.167 0.833 0.500
Ho3 0.335 0.665 0.000
Ho4 0.665 0.335 0.000
Ho5 0.833 0.167 0.500
Sc1 0.500 0.500 0.500
N1 0.092 0.418 0.254
N2 0.256 0.256 0.746
N3 0.418 0.092 0.254
N4 0.582 0.908 0.746
N5 0.744 0.744 0.254
N6 0.908 0.582 0.746



# 6
This record from Alexandria describes crystalline HoScN at its relaxed geometry. The functional is PBE.

Output
E above lowest polymorph in eV per atom: 0.380
DOS(E_F) in states/eV per cell: 2.59
DFT total energy in eV per atom: -7.1461
Magnetization in μB per cell: 0.0
Space-group type: Fmm2
Uncorrected formation energy in meV/atom: -735

Cell lengths 6.631, 6.164, 3.385 Å; angles 82.45, 67.15, 30.40 degrees
Positions (direct):
Ho1 0.000 0.000 0.000
Sc1 0.749 0.749 0.251
N1 0.364 0.364 0.636



# 7
This record from Alexandria describes crystalline HoSc2SnN at its relaxed geometry. The functional is PBE.

Output
DOS(E_F) in states/eV per cell: 2.89
DFT total energy in eV per atom: -7.0371
Magnetization in μB per cell: 0.0
Space-group type: P4/mmm
Uncorrected formation energy in meV/atom: -1123

Cell lengths 4.496, 4.496, 4.739 Å; angles 90.00, 90.00, 90.00 degrees
Positions (direct):
Ho1 0.000 0.000 0.000
Sc1 0.000 0.500 0.500
Sc2 0.500 0.000 0.500
Sn1 0.500 0.500 0.000
N1 0.000 0.000 0.500



# 8
This record from Alexandria describes crystalline HoSc2TaN4 at its relaxed geometry. The functional is PBE.

Output
DOS(E_F) in states/eV per cell: 2.14
DFT total energy in eV per atom: -9.4618
Magnetization in μB per cell: 0.0
Space-group type: P2/m
Uncorrected formation energy in meV/atom: -1662

Cell lengths 5.568, 3.217, 5.619 Å; angles 90.00, 109.22, 90.00 degrees
Positions (direct):
Ho1 0.000 0.000 0.000
Sc1 0.500 0.000 0.500
Sc2 0.500 0.500 0.000
Ta1 0.000 0.500 0.500
N1 0.246 0.000 0.735
N2 0.252 0.500 0.269
N3 0.748 0.500 0.731
N4 0.754 0.000 0.265



# 9
This record from Alexandria describes crystalline Ho2ScTe2N2 at its relaxed geometry. The functional is PBE.

Output
DOS(E_F) in states/eV per cell: 2.64
DFT total energy in eV per atom: -6.8101
Magnetization in μB per cell: 0.0
Space-group type: I4/mmm
Uncorrected formation energy in meV/atom: -1321

Cell lengths 9.219, 9.219, 9.219 Å; angles 154.14, 154.14, 36.89 degrees
Positions (direct):
Ho1 0.088 0.088 0.000
Ho2 0.912 0.912 0.000
Sc1 0.500 0.500 0.000
Te1 0.328 0.328 0.000
Te2 0.672 0.672 0.000
N1 0.000 0.500 0.500
N2 0.500 0.000 0.500



# 10
This record from Alexandria describes crystalline Ho2ScTlN at its relaxed geometry. The functional is PBE.

Output
DOS(E_F) in states/eV per cell: 2.74
DFT total energy in eV per atom: -6.2071
Magnetization in μB per cell: 0.0
Space-group type: P4/mmm
Uncorrected formation energy in meV/atom: -971

Cell lengths 4.786, 4.786, 4.521 Å; angles 90.00, 90.00, 90.00 degrees
Positions (direct):
Ho1 0.000 0.500 0.000
Ho2 0.500 0.000 0.000
Sc1 0.000 0.000 0.500
Tl1 0.500 0.500 0.500
N1 0.000 0.000 0.000



# 11
This record from Alexandria describes crystalline HoSc2TlN at its relaxed geometry. The functional is PBE.

Output
DOS(E_F) in states/eV per cell: 2.82
DFT total energy in eV per atom: -6.5894
Magnetization in μB per cell: 0.0
Space-group type: P4/mmm
Uncorrected formation energy in meV/atom: -1003

Cell lengths 4.519, 4.519, 4.743 Å; angles 90.00, 90.00, 90.00 degrees
Positions (direct):
Ho1 0.000 0.000 0.000
Sc1 0.000 0.500 0.500
Sc2 0.500 0.000 0.500
Tl1 0.500 0.500 0.000
N1 0.000 0.000 0.500



# 12
This record from Alexandria describes crystalline Ho2TmScN4 at its relaxed geometry. The functional is PBE.

Output
DOS(E_F) in states/eV per cell: 0.22
DFT total energy in eV per atom: -8.4339
Magnetization in μB per cell: 0.0
Space-group type: P2/m
Uncorrected formation energy in meV/atom: -1776

Cell lengths 5.850, 3.381, 5.850 Å; angles 90.00, 109.43, 90.00 degrees
Positions (direct):
Ho1 0.000 0.000 0.000
Ho2 0.500 0.500 0.000
Tm1 0.000 0.500 0.500
Sc1 0.500 0.000 0.500
N1 0.252 0.000 0.744
N2 0.257 0.500 0.259
N3 0.743 0.500 0.741
N4 0.748 0.000 0.256



# 13
This record from Alexandria describes crystalline HoTm2ScN4 at its relaxed geometry. The functional is PBE.

Output
DOS(E_F) in states/eV per cell: 0.22
DFT total energy in eV per atom: -8.4417
Magnetization in μB per cell: 0.0
Space-group type: P2/m
Uncorrected formation energy in meV/atom: -1797

Cell lengths 5.830, 3.370, 5.830 Å; angles 90.00, 109.43, 90.00 degrees
Positions (direct):
Ho1 0.000 0.000 0.000
Tm1 0.000 0.500 0.500
Tm2 0.500 0.000 0.500
Sc1 0.500 0.500 0.000
N1 0.255 0.500 0.249
N2 0.257 0.000 0.755
N3 0.743 0.000 0.245
N4 0.745 0.500 0.751



# 14
This record from Alexandria describes crystalline HoScW2N6 at its relaxed geometry. The functional is PBE.

Output
DOS(E_F) in states/eV per cell: 0.00
DFT total energy in eV per atom: -9.6441
Magnetization in μB per cell: 0.0
Space-group type: C2/c
Uncorrected formation energy in meV/atom: -967

Cell lengths 7.409, 7.409, 6.217 Å; angles 108.82, 108.82, 79.97 degrees
Positions (direct):
Ho1 0.096 0.904 0.750
Ho2 0.904 0.096 0.250
Sc1 0.270 0.730 0.250
Sc2 0.730 0.270 0.750
W1 0.208 0.379 0.813
W2 0.379 0.208 0.313
W3 0.621 0.792 0.687
W4 0.792 0.621 0.187
N1 0.005 0.220 0.669
N2 0.129 0.628 0.848
N3 0.220 0.005 0.169
N4 0.315 0.396 0.138
N5 0.372 0.871 0.652
N6 0.396 0.315 0.638
N7 0.604 0.685 0.362
N8 0.628 0.129 0.348
N9 0.685 0.604 0.862
N10 0.780 0.995 0.831
N11 0.871 0.372 0.152
N12 0.995 0.780 0.331



# 15
This record from Alexandria describes crystalline Ho2Zr3ScN6 at its relaxed geometry. The functional is PBE.

Output
DOS(E_F) in states/eV per cell: 3.43
DFT total energy in eV per atom: -9.3545
Magnetization in μB per cell: 0.0
Space-group type: C2/m
Uncorrected formation energy in meV/atom: -1764

Cell lengths 5.716, 5.716, 5.754 Å; angles 99.58, 99.58, 119.91 degrees
Positions (direct):
Ho1 0.167 0.833 0.000
Ho2 0.833 0.167 0.000
Zr1 0.000 0.000 0.500
Zr2 0.335 0.665 0.500
Zr3 0.665 0.335 0.500
Sc1 0.500 0.500 0.000
N1 0.088 0.413 0.741
N2 0.261 0.261 0.260
N3 0.413 0.088 0.741
N4 0.587 0.912 0.259
N5 0.739 0.739 0.740
N6 0.912 0.587 0.259



# 16
This record from Alexandria describes crystalline HoZr3Sc2N6 at its relaxed geometry. The functional is PBE.

Output
DOS(E_F) in states/eV per cell: 3.59
DFT total energy in eV per atom: -9.5286
Magnetization in μB per cell: 0.0
Space-group type: C2/m
Uncorrected formation energy in meV/atom: -1792

Cell lengths 5.655, 5.655, 5.679 Å; angles 99.61, 99.61, 119.89 degrees
Positions (direct):
Ho1 0.000 0.000 0.000
Zr1 0.168 0.832 0.500
Zr2 0.500 0.500 0.500
Zr3 0.832 0.168 0.500
Sc1 0.333 0.667 0.000
Sc2 0.667 0.333 0.000
N1 0.085 0.426 0.254
N2 0.257 0.257 0.747
N3 0.426 0.085 0.254
N4 0.574 0.915 0.746
N5 0.743 0.743 0.253
N6 0.915 0.574 0.746



# 17
This record from Alexandria describes crystalline HoZrSc2N4 at its relaxed geometry. The functional is PBE.

Output
DOS(E_F) in states/eV per cell: 1.15
DFT total energy in eV per atom: -9.2128
Magnetization in μB per cell: 0.0
Space-group type: P2/m
Uncorrected formation energy in meV/atom: -1827

Cell lengths 5.650, 3.275, 5.684 Å; angles 90.00, 109.38, 90.00 degrees
Positions (direct):
Ho1 0.000 0.000 0.000
Zr1 0.000 0.500 0.500
Sc1 0.500 0.000 0.500
Sc2 0.500 0.500 0.000
N1 0.253 0.000 0.744
N2 0.258 0.500 0.261
N3 0.742 0.500 0.739
N4 0.747 0.000 0.256



# 18
This record from Alexandria describes crystalline Ho2ZrScN4 at its relaxed geometry. The functional is PBE.

Output
DOS(E_F) in states/eV per cell: 1.17
DFT total energy in eV per atom: -8.9641
Magnetization in μB per cell: 0.0
Space-group type: P2/m
Uncorrected formation energy in meV/atom: -1797

Cell lengths 5.757, 3.328, 5.787 Å; angles 90.00, 109.29, 90.00 degrees
Positions (direct):
Ho1 0.000 0.000 0.000
Ho2 0.500 0.500 0.000
Zr1 0.000 0.500 0.500
Sc1 0.500 0.000 0.500
N1 0.244 0.000 0.735
N2 0.253 0.500 0.265
N3 0.747 0.500 0.735
N4 0.756 0.000 0.265



# 19
This record from Alexandria describes crystalline Ho5Se5N at its relaxed geometry. The functional is PBE.

Output
DOS(E_F) in states/eV per cell: 3.11
DFT total energy in eV per atom: -6.1636
Magnetization in μB per cell: 0.0
Space-group type: C2/m
Uncorrected formation energy in meV/atom: -1742

Cell lengths 6.841, 6.841, 7.827 Å; angles 107.31, 107.31, 48.53 degrees
Positions (direct):
Ho1 0.000 0.000 0.000
Ho2 0.351 0.351 0.150
Ho3 0.352 0.352 0.700
Ho4 0.648 0.648 0.300
Ho5 0.649 0.649 0.850
Se1 0.163 0.163 0.822
Se2 0.175 0.175 0.335
Se3 0.500 0.500 0.500
Se4 0.825 0.825 0.665
Se5 0.837 0.837 0.178
N1 0.500 0.500 0.000



# 20
This record from Alexandria describes crystalline Ho4Se3N at its relaxed geometry. The functional is PBE.

Output
DOS(E_F) in states/eV per cell: 6.84
DFT total energy in eV per atom: -6.1610
Magnetization in μB per cell: 0.0
Space-group type: Pmn2_1
Uncorrected formation energy in meV/atom: -1525

Cell lengths 9.625, 7.546, 5.577 Å; angles 90.00, 90.00, 90.00 degrees
Positions (direct):
Ho1 0.000 0.137 0.000
Ho2 0.000 0.854 0.484
Ho3 0.214 0.253 0.475
Ho4 0.286 0.747 0.975
Ho5 0.500 0.146 0.984
Ho6 0.500 0.863 0.500
Ho7 0.714 0.747 0.975
Ho8 0.786 0.253 0.475
Se1 0.000 0.763 0.988
Se2 0.239 0.352 0.977
Se3 0.261 0.648 0.477
Se4 0.500 0.237 0.488
Se5 0.739 0.648 0.477
Se6 0.761 0.352 0.977
N1 0.000 0.147 0.426
N2 0.500 0.853 0.926